3
Lattice="-1.723 -2.872 -0.649 2.287 1.162 -2.249 5.192 -3.859 3.286" Properties=species:S:1:pos:R:3 comment="LaReTe PBE-GGA relaxed" e_above_lowest_polymorph_ev_per_atom=0.897 pbc="T T T"
La 0.109 -0.081 0.069
Re 1.510 -2.937 0.018
Te 4.137 -2.550 0.301